YBiOF2: relaxed, PBE.

Cell and atoms, written as POSCAR:
```
YBiOF2
1.0
4.6729 0.0000 0.0000
0.0000 4.6729 0.0000
0.0000 0.0000 4.5534
Y Bi O F
1 1 1 2
Cartesian
0.0000 0.0000 0.0000
2.3365 2.3365 2.2767
2.3365 2.3365 0.0000
0.0000 2.3365 2.2767
2.3365 0.0000 2.2767
```

ΔE_f (raw) ... -1367 meV per atom


LiUCu2Se4: relaxed, PBE.

Cell and atoms, written as POSCAR:
```
LiUCu2Se4
1.0
-3.3013 3.3347 3.6210
3.3013 -3.3347 3.6210
3.3013 3.3347 -3.6210
Li U Cu Se
1 1 2 4
Cartesian
0.0000 0.0000 0.0000
0.0000 0.0000 3.6210
3.3013 0.0000 2.3112
0.0000 3.3347 1.3097
1.4947 1.4575 -1.3004
5.1080 1.4575 1.3004
1.8066 1.8773 2.3206
-1.8066 1.8773 4.9213
```

ΔE_f (raw) ... -610 meV per atom


Pr4SmSe6: relaxed, PBE.

Cell and atoms, written as POSCAR:
```
Pr4SmSe6
1.0
6.0116 3.4708 4.7722
-6.0116 3.4708 4.7722
0.0000 -6.9416 4.7722
Pr Sm Se
8 2 12
Cartesian
-3.6886 0.5527 5.9653
0.0000 0.0000 3.5792
-2.3230 -2.9181 8.3514
1.3657 -3.4708 5.9653
-1.3657 3.4708 8.3514
2.3230 2.9181 5.9653
0.0000 0.0000 10.7375
3.6886 -0.5527 8.3514
0.0000 0.0000 0.0000
0.0000 0.0000 7.1584
-5.1276 -1.3272 7.8914
-1.4144 -5.1042 6.4254
-1.4144 -1.8374 5.5052
-3.7132 3.7770 6.4254
-0.8840 2.1436 5.5052
-2.2984 0.3062 8.8115
2.2984 -0.3062 5.5052
0.8840 -2.1436 8.8115
3.7132 -3.7770 7.8914
1.4144 1.8374 8.8115
1.4144 5.1042 7.8914
5.1276 1.3272 6.4254
```

ΔE_f (raw) ... -1731 meV per atom


| no. | VASP energy (eV/atom) |
| --- | --- |
| 1 | -5.1763 |
| 2 | -5.0265 |
| 3 | -5.7988 |